## one
! Mn2BeF (PBE with a Hubbard U, optimized geometry); values from VASP
! **V**: 15.362 Å³/atom
! **Space group**: I-42d
&SYSTEM
  ibrav = 0, nat = 8, ntyp = 3
/
ATOMIC_SPECIES
Mn 54.94 Mn.upf
Be 9.01 Be.upf
F 19.00 F.upf
ATOMIC_POSITIONS angstrom
Mn 4.627 1.363 -0.807
Mn 1.363 1.542 0.807
Mn -1.542 1.721 2.422
Mn 1.721 1.542 4.036
Be 3.085 0.000 1.615
Be 0.000 0.000 3.229
F 0.000 0.000 0.000
F 0.000 3.085 1.615
CELL_PARAMETERS angstrom
-3.085 3.085 3.229
3.085 -3.085 3.229
3.085 3.085 -3.229

## two
! Mn2BeF (PBE with a Hubbard U, optimized geometry); values from VASP
! **V**: 13.974 Å³/atom
! **Space group**: Fm-3m
&SYSTEM
  ibrav = 0, nat = 4, ntyp = 3
/
ATOMIC_SPECIES
Mn 54.94 Mn.upf
Be 9.01 Be.upf
F 19.00 F.upf
ATOMIC_POSITIONS angstrom
Mn 1.517 1.517 1.517
Mn 4.552 4.552 4.552
Be 0.000 0.000 0.000
F 3.035 3.035 3.035
CELL_PARAMETERS angstrom
0.000 3.035 3.035
3.035 0.000 3.035
3.035 3.035 0.000

It comes down to one, which is 208 meV per atom more stable than the next structure.

## one
! MnBeF2 (PBE with a Hubbard U, optimized geometry); values from VASP
! **V**: 13.646 Å³/atom
! **Space group**: Fd-3m
&SYSTEM
  ibrav = 0, nat = 8, ntyp = 3
/
ATOMIC_SPECIES
Mn 54.94 Mn.upf
Be 9.01 Be.upf
F 19.00 F.upf
ATOMIC_POSITIONS angstrom
Mn 0.948 0.948 0.948
Mn 6.638 6.638 6.638
Be 2.845 2.845 2.845
Be 4.742 4.742 4.742
F 3.793 1.897 1.897
F 1.897 3.793 1.897
F 1.897 1.897 3.793
F 3.793 3.793 3.793
CELL_PARAMETERS angstrom
0.000 3.793 3.793
3.793 0.000 3.793
3.793 3.793 0.000

## two
! MnBeF2 (PBE with a Hubbard U, optimized geometry); values from VASP
! **V**: 17.825 Å³/atom
! **Space group**: R-3m
&SYSTEM
  ibrav = 0, nat = 4, ntyp = 3
/
ATOMIC_SPECIES
Mn 54.94 Mn.upf
Be 9.01 Be.upf
F 19.00 F.upf
ATOMIC_POSITIONS angstrom
Mn 0.000 0.000 0.000
Be 0.000 0.000 12.500
F 0.000 0.000 11.102
F 0.000 0.000 13.898
CELL_PARAMETERS angstrom
1.572 0.907 8.333
-1.572 0.907 8.333
0.000 -1.815 8.333

## three
! MnBeF2 (PBE with a Hubbard U, optimized geometry); values from VASP
! **V**: 12.273 Å³/atom
! **Space group**: Fm-3m
&SYSTEM
  ibrav = 0, nat = 4, ntyp = 3
/
ATOMIC_SPECIES
Mn 54.94 Mn.upf
Be 9.01 Be.upf
F 19.00 F.upf
ATOMIC_POSITIONS angstrom
Mn 0.000 0.000 0.000
Be 2.906 2.906 2.906
F 1.453 1.453 1.453
F 4.359 4.359 4.359
CELL_PARAMETERS angstrom
0.000 2.906 2.906
2.906 0.000 2.906
2.906 2.906 0.000

It comes down to one, which is 201 meV per atom more stable than the next structure.

## one
! MnBe2F (PBE with a Hubbard U, optimized geometry); values from VASP
! **V**: 12.808 Å³/atom
! **Space group**: Fm-3m
&SYSTEM
  ibrav = 0, nat = 4, ntyp = 3
/
ATOMIC_SPECIES
Mn 54.94 Mn.upf
Be 9.01 Be.upf
F 19.00 F.upf
ATOMIC_POSITIONS angstrom
Mn 0.000 0.000 0.000
Be 1.474 1.474 1.474
Be 4.422 4.422 4.422
F 2.948 2.948 2.948
CELL_PARAMETERS angstrom
0.000 2.948 2.948
2.948 0.000 2.948
2.948 2.948 0.000

## two
! MnBe2F (PBE with a Hubbard U, optimized geometry); values from VASP
! **V**: 12.156 Å³/atom
! **Space group**: I-42d
&SYSTEM
  ibrav = 0, nat = 8, ntyp = 3
/
ATOMIC_SPECIES
Mn 54.94 Mn.upf
Be 9.01 Be.upf
F 19.00 F.upf
ATOMIC_POSITIONS angstrom
Mn 0.000 0.000 0.000
Mn 0.000 2.710 1.655
Be 1.355 -0.794 2.482
Be 1.916 1.355 0.827
Be 1.355 3.505 -0.827
Be 0.794 1.355 4.136
F 2.710 0.000 1.655
F 0.000 0.000 3.309
CELL_PARAMETERS angstrom
-2.710 2.710 3.309
2.710 -2.710 3.309
2.710 2.710 -3.309

It comes down to two, which is 610 meV per atom more stable than the next structure.

## one
! MnBeNF2 (PBE with a Hubbard U, optimized geometry); values from VASP
! **V**: 12.076 Å³/atom
! **Space group**: P4/mmm
&SYSTEM
  ibrav = 0, nat = 5, ntyp = 4
/
ATOMIC_SPECIES
Mn 54.94 Mn.upf
Be 9.01 Be.upf
N 14.01 N.upf
F 19.00 F.upf
ATOMIC_POSITIONS angstrom
Mn 0.000 0.000 0.000
Be 1.923 1.923 2.041
N 0.000 0.000 2.041
F 0.000 1.923 0.000
F 1.923 0.000 0.000
CELL_PARAMETERS angstrom
3.846 0.000 0.000
0.000 3.846 0.000
0.000 0.000 4.082

## two
! MnBeNF2 (PBE with a Hubbard U, optimized geometry); values from VASP
! **V**: 10.315 Å³/atom
! **Space group**: P4/mmm
&SYSTEM
  ibrav = 0, nat = 5, ntyp = 4
/
ATOMIC_SPECIES
Mn 54.94 Mn.upf
Be 9.01 Be.upf
N 14.01 N.upf
F 19.00 F.upf
ATOMIC_POSITIONS angstrom
Mn 0.000 0.000 0.000
Be 1.579 1.579 2.586
N 1.579 1.579 0.000
F 0.000 1.579 2.586
F 1.579 0.000 2.586
CELL_PARAMETERS angstrom
3.158 0.000 0.000
0.000 3.158 0.000
0.000 0.000 5.172

It comes down to two, which is 959 meV per atom more stable than the next structure.

## one
! MnBeOF2 (PBE with a Hubbard U, optimized geometry); values from VASP
! **V**: 12.601 Å³/atom
! **Space group**: P4/mmm
&SYSTEM
  ibrav = 0, nat = 5, ntyp = 4
/
ATOMIC_SPECIES
Mn 54.94 Mn.upf
Be 9.01 Be.upf
O 16.00 O.upf
F 19.00 F.upf
ATOMIC_POSITIONS angstrom
Mn 0.000 0.000 0.000
Be 1.998 1.998 1.972
O 0.000 0.000 1.972
F 0.000 1.998 0.000
F 1.998 0.000 0.000
CELL_PARAMETERS angstrom
3.997 0.000 0.000
0.000 3.997 0.000
0.000 0.000 3.944

## two
! MnBeOF2 (PBE with a Hubbard U, optimized geometry); values from VASP
! **V**: 9.124 Å³/atom
! **Space group**: P4/mmm
&SYSTEM
  ibrav = 0, nat = 5, ntyp = 4
/
ATOMIC_SPECIES
Mn 54.94 Mn.upf
Be 9.01 Be.upf
O 16.00 O.upf
F 19.00 F.upf
ATOMIC_POSITIONS angstrom
Mn 0.000 0.000 0.000
Be 1.663 1.663 2.061
O 1.663 1.663 0.000
F 0.000 1.663 2.061
F 1.663 0.000 2.061
CELL_PARAMETERS angstrom
3.327 0.000 0.000
0.000 3.327 0.000
0.000 0.000 4.122

It comes down to two, which is 1103 meV per atom more stable than the next structure.

## one
! BeMo2F (PBE with a Hubbard U, optimized geometry); values from VASP
! **V**: 14.635 Å³/atom
! **Space group**: I-42d
&SYSTEM
  ibrav = 0, nat = 8, ntyp = 3
/
ATOMIC_SPECIES
Be 9.01 Be.upf
Mo 95.94 Mo.upf
F 19.00 F.upf
ATOMIC_POSITIONS angstrom
Be 0.000 0.000 0.000
Be 0.000 1.892 4.087
Mo 2.838 0.907 -2.044
Mo 0.907 0.946 2.044
Mo -0.946 0.985 6.131
Mo 0.985 0.946 10.219
F 1.892 0.000 4.087
F 0.000 0.000 8.175
CELL_PARAMETERS angstrom
-1.892 1.892 8.175
1.892 -1.892 8.175
1.892 1.892 -8.175

## two
! BeMo2F (PBE with a Hubbard U, optimized geometry); values from VASP
! **V**: 12.485 Å³/atom
! **Space group**: Fm-3m
&SYSTEM
  ibrav = 0, nat = 4, ntyp = 3
/
ATOMIC_SPECIES
Be 9.01 Be.upf
Mo 95.94 Mo.upf
F 19.00 F.upf
ATOMIC_POSITIONS angstrom
Be 0.000 0.000 0.000
Mo 1.461 1.461 1.461
Mo 4.384 4.384 4.384
F 2.923 2.923 2.923
CELL_PARAMETERS angstrom
0.000 2.923 2.923
2.923 0.000 2.923
2.923 2.923 0.000

It comes down to two, which is 162 meV per atom more stable than the next structure.

## one
! BeMoNF2 (PBE with a Hubbard U, optimized geometry); values from VASP
! **V**: 11.936 Å³/atom
! **Space group**: P4/mmm
&SYSTEM
  ibrav = 0, nat = 5, ntyp = 4
/
ATOMIC_SPECIES
Be 9.01 Be.upf
Mo 95.94 Mo.upf
N 14.01 N.upf
F 19.00 F.upf
ATOMIC_POSITIONS angstrom
Be 0.000 0.000 0.000
Mo 1.570 1.570 3.028
N 0.000 0.000 3.028
F 0.000 1.570 0.000
F 1.570 0.000 0.000
CELL_PARAMETERS angstrom
3.139 0.000 0.000
0.000 3.139 0.000
0.000 0.000 6.055

## two
! BeMoNF2 (PBE with a Hubbard U, optimized geometry); values from VASP
! **V**: 14.160 Å³/atom
! **Space group**: P4/mmm
&SYSTEM
  ibrav = 0, nat = 5, ntyp = 4
/
ATOMIC_SPECIES
Be 9.01 Be.upf
Mo 95.94 Mo.upf
N 14.01 N.upf
F 19.00 F.upf
ATOMIC_POSITIONS angstrom
Be 0.000 0.000 0.000
Mo 2.094 2.094 2.018
N 2.094 2.094 0.000
F 0.000 2.094 2.018
F 2.094 0.000 2.018
CELL_PARAMETERS angstrom
4.188 0.000 0.000
0.000 4.188 0.000
0.000 0.000 4.036

It comes down to one, which is 937 meV per atom more stable than the next structure.

## one
! BeMoOF2 (PBE with a Hubbard U, optimized geometry); values from VASP
! **V**: 11.001 Å³/atom
! **Space group**: P4/mmm
&SYSTEM
  ibrav = 0, nat = 5, ntyp = 4
/
ATOMIC_SPECIES
Be 9.01 Be.upf
Mo 95.94 Mo.upf
O 16.00 O.upf
F 19.00 F.upf
ATOMIC_POSITIONS angstrom
Be 0.000 0.000 0.000
Mo 1.637 1.637 2.566
O 0.000 0.000 2.566
F 0.000 1.637 0.000
F 1.637 0.000 0.000
CELL_PARAMETERS angstrom
3.274 0.000 0.000
0.000 3.274 0.000
0.000 0.000 5.132

## two
! BeMoOF2 (PBE with a Hubbard U, optimized geometry); values from VASP
! **V**: 14.625 Å³/atom
! **Space group**: P4/mmm
&SYSTEM
  ibrav = 0, nat = 5, ntyp = 4
/
ATOMIC_SPECIES
Be 9.01 Be.upf
Mo 95.94 Mo.upf
O 16.00 O.upf
F 19.00 F.upf
ATOMIC_POSITIONS angstrom
Be 0.000 0.000 0.000
Mo 2.113 2.113 2.048
O 2.113 2.113 0.000
F 0.000 2.113 2.048
F 2.113 0.000 2.048
CELL_PARAMETERS angstrom
4.226 0.000 0.000
0.000 4.226 0.000
0.000 0.000 4.095

It comes down to one, which is 896 meV per atom more stable than the next structure.